VASP calculation (PBE+U) on a geometry-optimized PmMgMo2O6 structure.

Structure (extended XYZ):
```
10
Lattice="5.558 0.009 0.003 2.790 4.831 0.061 2.791 1.674 4.789" Properties=species:S:1:pos:R:3 pbc="T T T"
Pm 8.326 4.902 3.049
Mg 2.806 1.638 0.364
Mo 5.570 3.270 2.162
Mo 2.794 1.678 4.595
O 4.797 1.571 1.124
O 4.549 4.699 1.147
O 7.354 3.369 1.158
O 6.168 4.732 3.611
O 6.513 2.023 3.559
O 4.034 3.070 3.549
```

Calculated total energy, eV per atom: -7.302